(1)
A plane-wave DFT calculation with GGA-PBE was carried out for crystalline FeCo2Ir2 at its relaxed geometry.

Geometry as POSCAR:
```
FeCo2Ir2
1.0
2.232 -2.232 0.000
2.232 2.232 0.000
-0.023 0.000 6.837
Fe Co Ir
1 2 2
Cartesian
0.000 0.000 0.000
1.104 1.116 3.418
1.104 -1.116 3.418
2.213 0.000 1.360
2.227 0.000 5.477
```

Summary:
V, Å³/cell: 68.1
Mass density, g/cm3: 13.61
Energy of formation from the pure elements, eV/atom: 0.40
Total magnetization, μB/f.u.: 6.77

=====

(2)
A plane-wave DFT calculation with GGA-PBE was carried out for crystalline FeCo2Ir at its relaxed geometry.

Geometry as POSCAR:
```
FeCo2Ir
1.0
2.625 0.000 0.000
0.000 2.625 0.000
0.000 0.000 7.049
Fe Co Ir
1 2 1
Cartesian
0.000 0.000 0.000
0.000 0.000 3.739
1.313 1.313 5.332
1.313 1.313 1.881
```

Summary:
V, Å³/cell: 48.6
Mass density, g/cm3: 12.51
Energy of formation from the pure elements, eV/atom: 0.04
Total magnetization, μB/f.u.: 5.80

=====

(3)
A plane-wave DFT calculation with GGA-PBE was carried out for crystalline Fe3Co2Ir8 at its relaxed geometry.

Geometry as POSCAR:
```
Fe3Co2Ir8
1.0
4.635 0.000 0.000
1.626 4.393 0.000
1.372 0.746 8.850
Fe Co Ir
3 2 8
Cartesian
0.000 0.000 0.000
1.866 3.708 2.438
5.767 1.431 6.412
1.197 1.760 1.080
6.437 3.379 7.771
1.108 1.483 3.718
4.198 3.680 6.518
3.571 1.441 7.778
3.430 1.478 5.120
4.203 3.661 3.730
4.062 3.698 1.073
3.435 1.460 2.332
6.525 3.656 5.132
```

Summary:
V, Å³/cell: 180.2
Mass density, g/cm3: 16.80
Energy of formation from the pure elements, eV/atom: 0.09
Total magnetization, μB/f.u.: 11.72

=====

(4)
A plane-wave DFT calculation with GGA-PBE was carried out for crystalline Fe2CoIr2 at its relaxed geometry.

Geometry as POSCAR:
```
Fe2CoIr2
1.0
4.364 -1.336 0.000
4.364 1.336 0.000
-3.270 0.000 5.489
Fe Co Ir
2 1 2
Cartesian
0.787 0.000 1.685
4.672 0.000 3.804
-1.635 0.000 2.744
3.179 0.000 0.601
2.280 0.000 4.888
```

Summary:
V, Å³/cell: 64.0
Mass density, g/cm3: 14.40
Energy of formation from the pure elements, eV/atom: 0.01
Total magnetization, μB/f.u.: 6.21

=====

Q: Which of these has the highest mass density?
A: Fe3Co2Ir8

=====

Q: Look up the mass density of the third one.
A: 16.80 g/cm3

=====

Q: mass density of number 2 (FeCo2Ir)?
A: 12.51 g/cm3

=====

Q: The lowest mass density belongs to which entry?
A: FeCo2Ir